The following is a DFT calculation (PBE) of a geometry-optimized AlZnAu2 structure.

a = 2.8688 Å, b = 4.7832 Å, c = 10.8898 Å
α = 90.00°, β = 90.00°, γ = 90.00°
Atoms (fractional coordinates):
Al: 0.0000 0.0000 0.0000
Al: 0.5000 0.5000 0.5000
Zn: 0.0000 0.0000 0.5000
Zn: 0.5000 0.5000 0.0000
Au: 0.0000 0.0000 0.2429
Au: 0.0000 0.0000 0.7571
Au: 0.5000 0.5000 0.2571
Au: 0.5000 0.5000 0.7429

Summary:
* Fermi-level density of states: 1.3 states/eV/f.u.
* density: 10.8 g cm⁻³
* total energy: -2.850 eV/atom

The following is a DFT calculation (PBE) of a geometry-optimized PmPrSb2 structure.

a = 7.8050 Å, b = 7.8050 Å, c = 7.8050 Å
α = 90.00°, β = 90.00°, γ = 90.00°
Atoms (fractional coordinates):
Pm: 0.0000 0.0000 0.0000
Pm: 0.0000 0.5000 0.5000
Pm: 0.5000 0.0000 0.5000
Pm: 0.5000 0.5000 0.0000
Pr: 0.0000 0.0000 0.5000
Pr: 0.0000 0.5000 0.0000
Pr: 0.5000 0.0000 0.0000
Pr: 0.5000 0.5000 0.5000
Sb: 0.2500 0.2500 0.2500
Sb: 0.2500 0.2500 0.7500
Sb: 0.2500 0.7500 0.2500
Sb: 0.2500 0.7500 0.7500
Sb: 0.7500 0.2500 0.2500
Sb: 0.7500 0.2500 0.7500
Sb: 0.7500 0.7500 0.2500
Sb: 0.7500 0.7500 0.7500

Summary:
* energy relative to the lowest polymorph listed for this composition: 311.9 meV per atom
* Fermi-level density of states: 3.3 states/eV/f.u.
* density: 7.4 g cm⁻³
* energy relative to the elements, uncorrected: -0.878 eV/atom

The following is a DFT calculation (PBE) of a geometry-optimized Tm6CoPd3 structure.

a = 6.6429 Å, b = 7.4211 Å, c = 11.7201 Å
α = 90.00°, β = 123.49°, γ = 90.00°
Atoms (fractional coordinates):
Tm: 0.0806 0.0478 0.2428
Tm: 0.0806 0.4522 0.7428
Tm: 0.2205 0.6869 0.0686
Tm: 0.2205 0.8131 0.5686
Tm: 0.3954 0.1663 0.0653
Tm: 0.3954 0.3337 0.5653
Tm: 0.6046 0.6663 0.4347
Tm: 0.6046 0.8337 0.9347
Tm: 0.7795 0.1869 0.4314
Tm: 0.7795 0.3131 0.9314
Tm: 0.9194 0.5478 0.2572
Tm: 0.9194 0.9522 0.7572
Co: 0.0000 0.0000 0.0000
Co: 0.0000 0.5000 0.5000
Pd: 0.3037 0.1172 0.7474
Pd: 0.3037 0.3828 0.2474
Pd: 0.5000 0.0000 0.5000
Pd: 0.5000 0.5000 0.0000
Pd: 0.6963 0.6172 0.7526
Pd: 0.6963 0.8828 0.2526

Summary:
* Fermi-level density of states: 6.0 states/eV/f.u.
* density: 9.6 g cm⁻³
* total energy: -5.530 eV/atom

The following is a DFT calculation (PBE) of a geometry-optimized Mg3NbB structure.

a = 5.4114 Å, b = 5.4114 Å, c = 5.4114 Å
α = 90.00°, β = 90.00°, γ = 90.00°
Atoms (fractional coordinates):
Mg: 0.0000 0.0000 0.5000
Mg: 0.0000 0.5000 0.0000
Mg: 0.5000 0.0000 0.0000
Nb: 0.0000 0.0000 0.0000
B: 0.5000 0.5000 0.5000

Summary:
* energy relative to the lowest polymorph listed for this composition: 1301.0 meV per atom
* Fermi-level density of states: 5.0 states/eV/f.u.
* density: 1.9 g cm⁻³

The following is a DFT calculation (PBE) of a geometry-optimized Dy3Hg2Au2 structure.

a = 3.9699 Å, b = 23.6604 Å, c = 3.6494 Å
α = 90.00°, β = 90.00°, γ = 90.00°
Atoms (fractional coordinates):
Dy: 0.0000 0.0000 0.0000
Dy: 0.0000 0.1581 0.0000
Dy: 0.0000 0.8419 0.0000
Dy: 0.5000 0.3419 0.0000
Dy: 0.5000 0.5000 0.0000
Dy: 0.5000 0.6581 0.0000
Hg: 0.0000 0.4243 0.5000
Hg: 0.0000 0.5757 0.5000
Hg: 0.5000 0.0757 0.5000
Hg: 0.5000 0.9243 0.5000
Au: 0.0000 0.2910 0.5000
Au: 0.0000 0.7090 0.5000
Au: 0.5000 0.2090 0.5000
Au: 0.5000 0.7910 0.5000

Summary:
* Fermi-level density of states: 4.2 states/eV/f.u.
* density: 12.4 g cm⁻³
* total energy: -3.619 eV/atom

The following is a DFT calculation (PBE) of a geometry-optimized Sm8Sn2Ge structure.

a = 10.1658 Å, b = 10.1658 Å, c = 6.8683 Å
α = 103.79°, β = 103.79°, γ = 29.13°
Atoms (fractional coordinates):
Sm: 0.0188 0.0188 0.2761
Sm: 0.2180 0.2180 0.8226
Sm: 0.3467 0.3467 0.4976
Sm: 0.4095 0.4095 0.0327
Sm: 0.5905 0.5905 0.9673
Sm: 0.6533 0.6533 0.5024
Sm: 0.7820 0.7820 0.1774
Sm: 0.9812 0.9812 0.7239
Sn: 0.1798 0.1798 0.2557
Sn: 0.8202 0.8202 0.7443
Ge: 0.5000 0.5000 0.5000

Summary:
* Fermi-level density of states: 11.8 states/eV/f.u.
* density: 7.5 g cm⁻³
* total energy: -5.000 eV/atom

The following is a DFT calculation (PBE) of a geometry-optimized Tb6Pm2Pr3Tl structure.

a = 6.1979 Å, b = 6.1979 Å, c = 11.8680 Å
α = 95.03°, β = 95.03°, γ = 120.05°
Atoms (fractional coordinates):
Tb: 0.0811 0.4080 0.2451
Tb: 0.2457 0.2457 0.7536
Tb: 0.4080 0.0811 0.2451
Tb: 0.5920 0.9189 0.7549
Tb: 0.7543 0.7543 0.2464
Tb: 0.9189 0.5920 0.7549
Pm: 0.3338 0.6662 0.0000
Pm: 0.6662 0.3338 0.0000
Pr: 0.1678 0.8322 0.5000
Pr: 0.5000 0.5000 0.5000
Pr: 0.8322 0.1678 0.5000
Tl: 0.0000 0.0000 0.0000

Summary:
* Fermi-level density of states: 16.4 states/eV/f.u.
* density: 8.0 g cm⁻³
* total energy: -4.523 eV/atom

The following is a DFT calculation (PBE) of a geometry-optimized Pr11Sm9Er4 structure.

a = 15.6957 Å, b = 15.6957 Å, c = 3.6934 Å
α = 90.00°, β = 90.00°, γ = 113.53°
Atoms (fractional coordinates):
Pr: 0.0000 0.0000 0.0000
Pr: 0.0420 0.4033 0.0000
Pr: 0.1622 0.8378 0.0000
Pr: 0.2920 0.2920 0.0000
Pr: 0.3695 0.6305 0.0000
Pr: 0.4033 0.0420 0.0000
Pr: 0.5967 0.9580 0.0000
Pr: 0.6305 0.3695 0.0000
Pr: 0.7080 0.7080 0.0000
Pr: 0.8378 0.1622 0.0000
Pr: 0.9580 0.5967 0.0000
Sm: 0.0662 0.2136 0.5000
Sm: 0.1658 0.6284 0.5000
Sm: 0.2136 0.0662 0.5000
Sm: 0.3716 0.8342 0.5000
Sm: 0.5000 0.5000 0.5000
Sm: 0.6284 0.1658 0.5000
Sm: 0.7864 0.9338 0.5000
Sm: 0.8342 0.3716 0.5000
Sm: 0.9338 0.7864 0.5000
Er: 0.2398 0.4436 0.5000
Er: 0.4436 0.2398 0.5000
Er: 0.5564 0.7602 0.5000
Er: 0.7602 0.5564 0.5000

Summary:
* Fermi-level density of states: 31.7 states/eV/f.u.
* density: 7.1 g cm⁻³
* total energy: -4.665 eV/atom